Computed, not measured: SrRe2Os after structural relaxation at the PBE-GGA level of DFT.

a = 3.9483 Å, b = 3.9483 Å, c = 4.6359 Å
α = 90.00°, β = 90.00°, γ = 90.00°
Positions (direct):
Sr (0.0000, 0.0000, 0.0000)
Re (0.0000, 0.5000, 0.5000)
Re (0.5000, 0.0000, 0.5000)
Os (0.5000, 0.5000, 0.0000)

Computed properties:
Energy of formation from the pure elements   33.545 kcal/mol of atoms
Energy relative to the lowest polymorph listed for this composition   3.18 eV per formula unit

Computed, not measured: SrReOs2 after structural relaxation at the PBE-GGA level of DFT.

a = 2.8309 Å, b = 2.8309 Å, c = 29.9176 Å
α = 90.00°, β = 90.00°, γ = 120.00°
Positions (direct):
Sr (0.0000, 0.0000, 0.0000)
Sr (0.3333, 0.6667, 0.6667)
Sr (0.6667, 0.3333, 0.3333)
Re (0.0000, 0.0000, 0.7641)
Re (0.3333, 0.6667, 0.4308)
Re (0.6667, 0.3333, 0.0975)
Os (0.0000, 0.0000, 0.2400)
Os (0.0000, 0.0000, 0.5017)
Os (0.3333, 0.6667, 0.1683)
Os (0.3333, 0.6667, 0.9066)
Os (0.6667, 0.3333, 0.5733)
Os (0.6667, 0.3333, 0.8350)

Computed properties:
Energy of formation from the pure elements   19.643 kcal/mol of atoms
Energy relative to the lowest polymorph listed for this composition   1.05 eV per formula unit

Computed, not measured: SrRe2TeOs after structural relaxation at the PBE-GGA level of DFT.

a = 4.7115 Å, b = 4.7115 Å, c = 5.3792 Å
α = 90.00°, β = 90.00°, γ = 90.00°
Positions (direct):
Sr (0.0000, 0.0000, 0.0000)
Re (0.0000, 0.5000, 0.0000)
Re (0.5000, 0.0000, 0.0000)
Te (0.0000, 0.0000, 0.5000)
Os (0.5000, 0.5000, 0.5000)

Computed properties:
Uncorrected formation energy   3.79 eV/atom

Computed, not measured: TaRe2Os after structural relaxation at the PBE-GGA level of DFT.

a = 2.8278 Å, b = 3.9221 Å, c = 5.6709 Å
α = 90.00°, β = 90.00°, γ = 90.00°
Positions (direct):
Ta (0.0000, 0.0000, 0.0000)
Re (0.0000, 0.0000, 0.4976)
Re (0.5000, 0.5000, 0.7292)
Os (0.5000, 0.5000, 0.2545)

Computed properties:
Energy of formation from the pure elements   0.361 kcal/mol of atoms
Energy relative to the lowest polymorph listed for this composition   0.13 eV per formula unit